No. 1
# Cr3OsW | Alexandria | PBE | optimized geometry
# * volume: 94.03 Å³/cell
# * calculated formation energy: 1.78 eV/atom
data_Cr3OsW
_cell_length_a 4.5474
_cell_length_b 4.5474
_cell_length_c 4.5474
_cell_angle_alpha 90.00
_cell_angle_beta 90.00
_cell_angle_gamma 90.00
_space_group_name_H-M_alt 'P m -3 m'
_space_group_IT_number 221
_space_group_name_Hall '-P 4 2 3'
loop_
_atom_site_label
_atom_site_fract_x
_atom_site_fract_y
_atom_site_fract_z
Cr1 0.0000 0.0000 0.5000
Os1 0.0000 0.0000 0.0000
W1 0.5000 0.5000 0.5000

***

No. 2
# CrOsW2 | Alexandria | PBE | optimized geometry
# * volume: 117.95 Å³/cell
# * calculated formation energy: 0.15 eV/atom
data_CrOsW2
_cell_length_a 3.0811
_cell_length_b 4.3927
_cell_length_c 8.7148
_cell_angle_alpha 90.00
_cell_angle_beta 90.00
_cell_angle_gamma 90.00
_space_group_name_H-M_alt 'I m m 2'
_space_group_IT_number 44
loop_
_space_group_symop_operation_xyz
'x,y,z'
'-x,-y,z'
'-x,y,z'
'x,-y,z'
'x+1/2,y+1/2,z+1/2'
'-x+1/2,-y+1/2,z+1/2'
'-x+1/2,y+1/2,z+1/2'
'x+1/2,-y+1/2,z+1/2'
loop_
_atom_site_label
_atom_site_fract_x
_atom_site_fract_y
_atom_site_fract_z
Cr1 0.0000 0.0000 0.0000
Os1 0.0000 0.5000 0.2413
W1 0.0000 0.0000 0.4822
W2 0.0000 0.5000 0.7313

***

No. 3
# CrOs3W | Alexandria | PBE | optimized geometry
# * volume: 102.37 Å³/cell
# * calculated formation energy: 2.60 eV/atom
data_CrOs3W
_cell_length_a 4.6780
_cell_length_b 4.6780
_cell_length_c 4.6780
_cell_angle_alpha 90.00
_cell_angle_beta 90.00
_cell_angle_gamma 90.00
_space_group_name_H-M_alt 'P m -3 m'
_space_group_IT_number 221
_space_group_name_Hall '-P 4 2 3'
loop_
_atom_site_label
_atom_site_fract_x
_atom_site_fract_y
_atom_site_fract_z
Cr1 0.0000 0.0000 0.0000
Os1 0.0000 0.5000 0.5000
W1 0.5000 0.5000 0.5000

***

No. 4
# Cr2OsW | Alexandria | PBE | optimized geometry
# * volume: 53.93 Å³/cell
# * calculated formation energy: 0.09 eV/atom
data_Cr2OsW
_cell_length_a 2.9141
_cell_length_b 2.9141
_cell_length_c 6.3508
_cell_angle_alpha 90.00
_cell_angle_beta 90.00
_cell_angle_gamma 90.00
_space_group_name_H-M_alt 'P 4 m m'
_space_group_IT_number 99
loop_
_space_group_symop_operation_xyz
'x,y,z'
'-y,x,z'
'-x,-y,z'
'y,-x,z'
'-x,y,z'
'y,x,z'
'x,-y,z'
'-y,-x,z'
loop_
_atom_site_label
_atom_site_fract_x
_atom_site_fract_y
_atom_site_fract_z
Cr1 0.0000 0.0000 0.0000
Cr2 0.5000 0.5000 0.1926
Os1 0.0000 0.0000 0.4507
W1 0.5000 0.5000 0.7305

***

No. 5
# CrOsW2 | Alexandria | PBE | optimized geometry
# * volume: 181.27 Å³/cell
# * calculated formation energy: 0.37 eV/atom
data_CrOsW2
_cell_length_a 2.7786
_cell_length_b 2.7786
_cell_length_c 27.1098
_cell_angle_alpha 90.00
_cell_angle_beta 90.00
_cell_angle_gamma 120.00
_space_group_name_H-M_alt 'R -3 m'
_space_group_IT_number 166
_space_group_name_Hall '-R 3 2"'
loop_
_atom_site_label
_atom_site_fract_x
_atom_site_fract_y
_atom_site_fract_z
Cr1 0.0000 0.0000 0.0000
Os1 0.0000 0.0000 0.5000
W1 0.0000 0.0000 0.2506

***

No. 6
# CrOsW2 | Alexandria | PBE | optimized geometry
# * volume: 118.92 Å³/cell
# * calculated formation energy: 0.25 eV/atom
data_CrOsW2
_cell_length_a 3.8850
_cell_length_b 3.8850
_cell_length_c 7.8791
_cell_angle_alpha 90.00
_cell_angle_beta 90.00
_cell_angle_gamma 90.00
_space_group_name_H-M_alt 'I 4/m m m'
_space_group_IT_number 139
_space_group_name_Hall '-I 4 2'
loop_
_atom_site_label
_atom_site_fract_x
_atom_site_fract_y
_atom_site_fract_z
Cr1 0.0000 0.0000 0.0000
Os1 0.0000 0.0000 0.5000
W1 0.0000 0.5000 0.2500